[1]
Computed, not measured: an optimized crystal structure of La2CuIrPd at the PBE level of DFT.

a b c (Å): 4.184 4.184 13.472
angles (deg): 90.00 90.00 90.00
Space group P4/nmm (No. 129, origin choice 2)
Asymmetric unit:
1 La 0.250 0.250 0.110 (multiplicity 2)
2 La 0.250 0.250 0.680 (multiplicity 2)
3 Cu 0.250 0.750 0.500 (multiplicity 2)
4 Ir 0.250 0.250 0.885 (multiplicity 2)
5 Pd 0.250 0.250 0.377 (multiplicity 2)

Results
Energy relative to the elements   -0.581 eV/atom
Volume   23.6 Å³ per atom
DOS at the Fermi energy   0.315 states/eV per atom
Magnetization   0.0 Bohr magnetons per cell
DFT total energy   -6.18 eV/atom

---

[2]
Computed, not measured: an optimized crystal structure of La2CuIrPd at the PBE level of DFT.

a b c (Å): 5.445 5.445 4.552
angles (deg): 90.00 90.00 90.00
Space group P4/mmm (No. 123)
Asymmetric unit:
1 La 0.000 0.500 0.000 (multiplicity 2)
2 Cu 0.000 0.000 0.500 (multiplicity 1)
3 Ir 0.500 0.500 0.500 (multiplicity 1)
4 Pd 0.000 0.000 0.000 (multiplicity 1)

Results
Energy relative to the elements   0.130 eV/atom
Volume   27.0 Å³ per atom
DOS at the Fermi energy   0.628 states/eV per atom
Magnetization   0.0 Bohr magnetons per cell
DFT total energy   -5.47 eV/atom

---

[3]
Computed, not measured: an optimized crystal structure of La2Cu3IrPt12 at the PBE level of DFT.

a b c (Å): 6.8118 6.8118 26.0493
angles (deg): 90.00 90.00 120.00
Space group R-3m (No. 166, hexagonal axes)
Asymmetric unit:
1 La 0.0000 0.0000 0.1576 (multiplicity 6)
2 Cu 0.0000 0.5000 0.0000 (multiplicity 9)
3 Ir 0.0000 0.0000 0.5000 (multiplicity 3)
4 Pt 0.0352 0.5176 0.0973 (multiplicity 18)
5 Pt 0.0685 0.5342 0.6196 (multiplicity 18)

Results
Energy relative to the elements   -0.125 eV/atom
Volume   19.4 Å³ per atom
DOS at the Fermi energy   1.063 states/eV per atom
Magnetization   0.0 Bohr magnetons per cell
DFT total energy   -5.87 eV/atom

---

[4]
Computed, not measured: an optimized crystal structure of La2CuSb4Ir3 at the PBE level of DFT.

a b c (Å): 4.632 4.632 10.409
angles (deg): 90.00 90.00 90.00
Space group P-4m2 (No. 115)
Asymmetric unit:
1 La 0.000 0.500 0.243 (multiplicity 2)
2 Cu 0.500 0.500 0.000 (multiplicity 1)
3 Sb 0.000 0.000 0.500 (multiplicity 1)
4 Sb 0.000 0.500 0.872 (multiplicity 2)
5 Sb 0.500 0.500 0.500 (multiplicity 1)
6 Ir 0.000 0.000 0.000 (multiplicity 1)
7 Ir 0.000 0.500 0.621 (multiplicity 2)

Results
Volume   22.3 Å³ per atom
Raw formation energy   -0.65 eV per atom
DOS at the Fermi energy   0.473 states/eV per atom
Magnetization   0.0 Bohr magnetons per cell
DFT total energy   -6.35 eV/atom